(1)
Below is a geometry-optimized ZnCoNiPb structure, with properties calculated at the PBE-GGA level.

Computed properties:
DFT total energy, eV/atom: -4.199
Energy above the lowest structure with this stoichiometry, meV/atom: 0
SG: F-43m

abc: 4.360 4.360 4.360
angles: 60.00 60.00 60.00
Each line ends with the local moment (μB).
Positions (direct):
Pb  0.000  0.000  0.000  0.00
Zn  0.500  0.500  0.500  -0.01
Ni  0.750  0.750  0.750  0.19
Co  0.250  0.250  0.250  0.80

(2)
Below is a geometry-optimized NdHoSn2Pt4 structure, with properties calculated at the PBE-GGA level.

Computed properties:
DFT total energy, eV/atom: -6.172
SG: P-6m2

abc: 4.587 4.587 9.219
angles: 90.00 90.00 120.00
Positions (direct):
Ho  0.000  0.000  0.000
Sn  0.667  0.333  0.754
Sn  0.667  0.333  0.246
Pt  0.000  0.000  0.667
Pt  0.333  0.667  0.157
Pt  0.333  0.667  0.843
Pt  0.000  0.000  0.333
Nd  0.333  0.667  0.500

(3)
Below is a geometry-optimized SrMgCoAs structure, with properties calculated at the PBE-GGA level.

Computed properties:
DFT total energy, eV/atom: -3.636
Energy above the lowest structure with this stoichiometry, meV/atom: 68
SG: F-43m

abc: 4.804 4.804 4.804
angles: 60.00 60.00 60.00
Positions (direct):
As  0.250  0.250  0.250
Co  0.000  0.000  0.000
Mg  0.750  0.750  0.750
Sr  0.500  0.500  0.500

(4)
Below is a geometry-optimized TlCuNiPb structure, with properties calculated at the PBE-GGA level.

Computed properties:
DFT total energy, eV/atom: -3.295
Energy above the lowest structure with this stoichiometry, meV/atom: 195
SG: F-43m

abc: 4.846 4.846 4.846
angles: 60.00 60.00 60.00
Positions (direct):
Cu  0.750  0.750  0.750
Ni  0.500  0.500  0.500
Pb  0.250  0.250  0.250
Tl  0.000  0.000  0.000

(5)
Below is a geometry-optimized ErTmHg6 structure, with properties calculated at the PBE-GGA level.

Computed properties:
DFT total energy, eV/atom: -1.669
Energy above the lowest structure with this stoichiometry, meV/atom: 0
SG: P-6m2
DFT formation energy, kJ/mol of formula units: -244

abc: 6.568 6.568 4.978
angles: 90.00 90.00 120.00
Positions (direct):
Hg  0.499  0.998  0.000
Hg  0.499  0.501  0.000
Hg  0.834  0.166  0.500
Hg  0.834  0.667  0.500
Hg  0.333  0.166  0.500
Hg  0.002  0.501  0.000
Er  0.000  0.000  0.000
Tm  0.333  0.667  0.500

(6)
Below is a geometry-optimized Ba2InOsSe6 structure, with properties calculated at the PBE-GGA level.

Computed properties:
DFT total energy, eV/atom: -4.650
Energy above the lowest structure with this stoichiometry, meV/atom: 7
SG: P-1

abc: 6.637 6.934 7.265
angles: 68.92 66.59 66.14
Each line ends with the local moment (μB).
Positions (direct):
Se  0.271  0.147  0.325  0.01
Se  0.663  0.308  0.816  0.02
Se  0.729  0.853  0.675  0.01
Se  0.828  0.762  0.160  0.01
Se  0.337  0.692  0.184  0.02
Se  0.172  0.238  0.840  0.01
Ba  0.245  0.762  0.742  0.00
Ba  0.755  0.238  0.258  0.00
Os  0.500  0.000  0.000  0.30
In  0.000  0.500  0.500  0.00